# TlHg2Sb

A relaxed TlHg2Sb crystal (GGA-PBEsol, Alexandria via LeMat-Bulk).

The theoretical density is 11.936 g/cm3. The formation energy without anion corrections is 0.07 eV per atom. Its density of states at the Fermi level is 1.83 states/eV per cell. Its total moment is 0.0 μB per formula unit. The crystal system is tetragonal.

The structure in extended XYZ format:
```
4
Lattice="3.7180 0.0000 0.0000 0.0000 5.2168 0.0000 0.0000 0.0000 5.2168" Properties=species:S:1:pos:R:3 pbc="T T T"
Hg 0.0000 0.0000 2.6084
Hg 0.0000 2.6084 0.0000
Sb 1.8590 2.6084 2.6084
Tl 1.8590 0.0000 0.0000
```